KCdBr (PBE, optimized geometry); E_form (uncorrected) = -83.3 kJ/mol of atoms; polymorph energy (0 for the lowest one) = 0.00 kJ per mole of atoms
1.0
-7.385 -2.228 2.761
-4.735 -5.876 3.189
0.107 0.604 4.487
Br Cd K
1 1 1
Direct
0.103 0.103 0.897
0.324 0.324 0.676
0.573 0.573 0.427